Compound: KTcRhS3
Source: the Alexandria database
Functional: PBE-GGA
Structure: relaxed

The formation energy (no corrections) comes out at -0.650 eV/atom. As for the density of states at the Fermi level: 2.68 states/eV/cell. The value obtained for the total magnetization is 0.0 Bohr magnetons per cell.

The space group is P2_1/m (No. 11) and the conventional cell measures 8.0019, 3.5706 and 9.3957 Å, with angles of 90.00, 112.82 and 90.00 degrees. The asymmetric unit holds K at (0.0127, 0.2500, 0.2589), Tc at (0.4962, 0.2500, 0.8753), Rh at (0.4295, 0.7500, 0.6217), S at (0.2443, 0.2500, 0.6326), S at (0.3018, 0.2500, 0.0033) and S at (0.3616, 0.7500, 0.3328).

***

Compound: EuZnGe
Source: the Alexandria database
Functional: PBE-GGA
Structure: relaxed

As for the density of states at the Fermi level: 20.02 states/eV/cell. The value obtained for the total magnetization is 14.3 Bohr magnetons per cell. The formation enthalpy at 0 K comes out at -0.466 eV per atom.

The space group is Pmma (No. 51) and the conventional cell measures 4.3219, 4.3336 and 7.5689 Å, with angles of 90.00, 90.00 and 90.00 degrees. The asymmetric unit holds Eu at (0.2500, 0.0000, 0.2336), Zn at (0.2500, 0.5000, 0.5765) and Ge at (0.2500, 0.5000, 0.9074).